This record from the Alexandria database describes an optimized crystal structure of LiTa2C. The functional is PBEsol.

energy relative to the elements	1.74	eV/f.u.
uncorrected energy	-69.95	eV for the cell shown
symmetry	I-42d (122)

a = 5.2034 Å, b = 5.2866 Å, c = 5.2866 Å
α = 75.98°, β = 60.52°, γ = 60.52°
Positions (direct):
C 0.0000 0.0000 0.0000
C 0.7500 0.5000 0.5000
Li 0.5000 0.0000 0.0000
Li 0.2500 0.5000 0.5000
Ta 0.0614 0.0636 0.5636
Ta 0.8750 0.4364 0.0636
Ta 0.3750 0.5636 0.9364
Ta 0.6886 0.9364 0.4364